Record 1
Computed, not measured: an optimized crystal structure of Hf2NbAu at the GGA-PBE level of DFT.

Results
**Formation enthalpy at 0 K**: 11 meV per atom
**Density**: 14009 kg/m3
**Total magnetic moment**: 0.002 μB/atom

Cell: 4.7685 4.7685 4.7685 Å, 60.00 60.00 60.00°
Fractional positions:
Hf (0.0000, 0.0000, 0.0000)
Hf (0.2500, 0.2500, 0.2500)
Nb (0.5000, 0.5000, 0.5000)
Au (0.7500, 0.7500, 0.7500)

Record 2
Computed, not measured: an optimized crystal structure of Hf2Ni2Au at the GGA-PBE level of DFT.

Results
**Formation enthalpy at 0 K**: -587 meV per atom
**Density**: 13850 kg/m3
**Total magnetic moment**: 0.001 μB/atom

Cell: 7.0067 7.0067 3.2790 Å, 90.00 90.00 90.00°
Fractional positions:
Hf (0.1722, 0.3278, 0.0000)
Hf (0.3278, 0.8278, 0.0000)
Hf (0.6722, 0.1722, 0.0000)
Hf (0.8278, 0.6722, 0.0000)
Ni (0.1245, 0.6245, 0.5000)
Ni (0.3755, 0.1245, 0.5000)
Ni (0.6245, 0.8755, 0.5000)
Ni (0.8755, 0.3755, 0.5000)
Au (0.0000, 0.0000, 0.5000)
Au (0.5000, 0.5000, 0.5000)

Record 3
Computed, not measured: an optimized crystal structure of Hf3Ni4Au4 at the GGA-PBE level of DFT.

Results
**Formation enthalpy at 0 K**: -122 meV per atom
**Density**: 12497 kg/m3
**Total magnetic moment**: 0.000 μB/atom

Cell: 7.4111 7.4111 7.4111 Å, 134.02 134.02 67.05°
Fractional positions:
Hf (0.0000, 0.0000, 0.0000)
Hf (0.2500, 0.7500, 0.5000)
Hf (0.7500, 0.2500, 0.5000)
Ni (0.1689, 0.5952, 0.0000)
Ni (0.4048, 0.4048, 0.5737)
Ni (0.5952, 0.1689, 0.0000)
Ni (0.8311, 0.8311, 0.4263)
Au (0.0000, 0.5000, 0.5000)
Au (0.2258, 0.2258, 0.0000)
Au (0.5000, 0.0000, 0.5000)
Au (0.7742, 0.7742, 0.0000)

Record 4
Computed, not measured: an optimized crystal structure of HfNiPbAu at the GGA-PBE level of DFT.

Results
**Density**: 14308 kg/m3
**Total magnetic moment**: 0.001 μB/atom

Cell: 4.7216 4.7216 4.7216 Å, 60.00 60.00 60.00°
Fractional positions:
Hf (0.0000, 0.0000, 0.0000)
Ni (0.5000, 0.5000, 0.5000)
Pb (0.2500, 0.2500, 0.2500)
Au (0.7500, 0.7500, 0.7500)

| no. | DFT total energy (eV per atom) |
| --- | --- |
| 1 | -8.3070 |
| 2 | -7.4500 |
| 3 | -6.0495 |
| 4 | -5.6295 |